Entry 1:
A relaxed structure of NdGaI4. Source: Alexandria, functional GGA-PBE.

The total moment is 0.000 μB/atom. Its space group is C2/m. As for the raw total energy: -3.232 eV/atom. Its calculated volume is 242.2 Å³ per cell. The uncorrected formation energy is -0.90 eV per atom.

Cell lengths 8.3360, 8.3360, 5.5454 Å; angles 91.06, 91.06, 38.95 degrees
Closest atoms and distances in Å follow each position.
Atoms (fractional coordinates):
Nd (0.0000, 0.0000, 0.0000)  8 I 3.36-3.37
Ga (0.5000, 0.5000, 0.5000)  8 I 3.36-3.37
I (0.1210, 0.1210, 0.5065)  2 Nd 3.36, 2 Ga 3.37
I (0.3790, 0.3790, 0.9939)  2 Ga 3.36, 2 Nd 3.37
I (0.6210, 0.6210, 0.0061)  2 Ga 3.36, 2 Nd 3.37
I (0.8790, 0.8790, 0.4935)  2 Nd 3.36, 2 Ga 3.37

---

Entry 2:
A relaxed structure of Pm2WC3. Source: Alexandria, functional GGA-PBE.

For the formation energy, the calculation gives -6.4 kJ/mol of atoms. The total moment is 0.000 μB/atom. Its space group is Cmc2_1. As for the raw total energy: -8.421 eV/atom. Its calculated volume is 189.9 Å³ per cell.

Cell lengths 6.0108, 6.0108, 5.7187 Å; angles 90.00, 90.00, 66.78 degrees
Closest atoms and distances in Å follow each position.
Atoms (fractional coordinates):
Pm (0.0078, 0.3262, 0.0000)  6 C 2.48-2.71
Pm (0.3262, 0.0078, 0.5000)  6 C 2.48-2.71
Pm (0.6738, 0.9922, 0.0000)  6 C 2.48-2.71
Pm (0.9922, 0.6738, 0.5000)  6 C 2.48-2.71
W (0.4052, 0.5948, 0.0545)  3 C 1.92-2.05
W (0.5948, 0.4052, 0.5545)  3 C 1.92-2.05
C (0.1219, 0.8781, 0.1300)  1 W 1.92
C (0.3382, 0.3641, 0.7670)  2 W 2.05-2.29
C (0.3641, 0.3382, 0.2670)  2 W 2.05-2.29
C (0.6359, 0.6618, 0.7670)  2 W 2.05-2.29
C (0.6618, 0.6359, 0.2670)  2 W 2.05-2.29
C (0.8781, 0.1219, 0.6300)  1 W 1.92